No. 1
VASP calculation (PBE) on a relaxed PmPrAu crystal.

Values from the calculation:
- energy relative to the elements (eV per atom) = -0.4818
- polymorph energy (0 for the lowest one) (kJ per mole of atoms) = 7.3

a b c (Å): 7.8870 7.8870 4.9269
angles (deg): 90.00 90.00 120.00
Closest atoms and distances in Å follow each position.
Space group P-62m (No. 189)
Unique sites:
Pm: 0.0000 0.5947 0.0000  5 Au 3.20-3.44
Pr: 0.0000 0.2642 0.5000  4 Au 2.94-3.23
Au: 0.0000 0.0000 0.0000  3 Pm 3.20, 6 Pr 3.23
Au: 0.3333 0.6667 0.5000  3 Pr 2.94

No. 2
VASP calculation (PBE) on a relaxed Cu2GeTe3 crystal.

Values from the calculation:
- formation energy without anion corrections (kJ/mol of atoms) = -9
- polymorph energy (0 for the lowest one) (kJ per mole of atoms) = 0.0

a b c (Å): 4.3406 12.7839 5.9765
angles (deg): 90.00 90.00 90.00
Closest atoms and distances in Å follow each position.
Space group Imm2 (No. 44)
Unique sites:
Cu: 0.0000 0.1678 0.0000  4 Te 2.58-2.59
Ge: 0.0000 0.5000 0.9764  4 Te 2.65-2.74
Te: 0.0000 0.0000 0.7572  2 Cu 2.59, 2 Ge 2.74
Te: 0.0000 0.3267 0.7318  3 Cu 2.58-2.59, 1 Ge 2.65

No. 3
VASP calculation (PBE) on a relaxed HoPuMn crystal.

Values from the calculation:
- energy relative to the elements (eV per atom) = 0.1084

a b c (Å): 3.4337 3.4337 11.3013
angles (deg): 90.00 90.00 90.00
Closest atoms and distances in Å follow each position.
Space group I4mm (No. 107)
Unique sites:
Ho: 0.0000 0.0000 0.0000  4 Mn 3.11, 5 Pu 3.21-3.44, 4 Ho 3.43
Pu: 0.0000 0.0000 0.7156  4 Mn 2.74
Mn: 0.0000 0.0000 0.3280  4 Pu 2.74

- Which formula does entry 1 have?
  PmPrAu